# NdSn3Au2 (PBE, relaxed)
data_NdSn3Au2
_chemical_formula_sum 'Nd2 Sn6 Au4'
_cell_length_a 4.363
_cell_length_b 4.802
_cell_length_c 13.645
_cell_angle_alpha 90.00
_cell_angle_beta 90.00
_cell_angle_gamma 90.00
_space_group_name_H-M_alt 'P 1'
_space_group_IT_number 1
loop_
_space_group_symop_operation_xyz
'x,y,z'
loop_
_atom_site_label
_atom_site_type_symbol
_atom_site_fract_x
_atom_site_fract_y
_atom_site_fract_z
Nd1 Nd 0.001 0.500 0.500
Sn1 Sn 0.500 0.500 0.320
Sn2 Sn 0.501 0.000 0.500
Sn3 Sn 0.499 0.500 0.000
Au1 Au 0.000 0.500 0.167
Au2 Au 0.000 0.000 0.667
Sn4 Sn 0.500 0.500 0.680
Au3 Au 0.000 0.000 0.333
Au4 Au 0.000 0.500 0.833
Sn5 Sn 0.500 0.000 0.180
Nd2 Nd 0.999 0.000 0.000
Sn6 Sn 0.500 0.000 0.820
# Formation energy from the elements ... -371 meV/atom